Record 1
## Hf2Pd2Ru (PBE-GGA)

Data for a relaxed structure of Hf2Pd2Ru.

Properties
Total magnetic moment in μB/cell: 0.00
Energy relative to the elements in eV/atom: -0.411
E in eV per cell: -83.24

```
data_Hf2Pd2Ru
_chemical_formula_sum 'Hf4 Pd4 Ru2'
_cell_length_a 7.313
_cell_length_b 7.313
_cell_length_c 3.326
_cell_angle_alpha 90.00
_cell_angle_beta 90.00
_cell_angle_gamma 90.00
_space_group_name_H-M_alt 'P 4/m b m'
_space_group_IT_number 127
_space_group_name_Hall '-P 4 2ab'
loop_
_atom_site_label
_atom_site_type_symbol
_atom_site_fract_x
_atom_site_fract_y
_atom_site_fract_z
Hf1 Hf 0.179 0.321 0.000
Pd1 Pd 0.127 0.627 0.500
Ru1 Ru 0.000 0.000 0.500
```

=====

Record 2
## HfPdRu3 (PBE-GGA)

Data for a relaxed structure of HfPdRu3.

Properties
E above lowest polymorph in eV per formula unit: 0.33
Total magnetic moment in μB/cell: 4.01
Energy relative to the elements in eV/atom: 1.620
E in eV per cell: -34.87

```
data_HfPdRu3
_chemical_formula_sum 'Hf1 Pd1 Ru3'
_cell_length_a 4.718
_cell_length_b 4.718
_cell_length_c 4.718
_cell_angle_alpha 90.00
_cell_angle_beta 90.00
_cell_angle_gamma 90.00
_space_group_name_H-M_alt 'P m -3 m'
_space_group_IT_number 221
_space_group_name_Hall '-P 4 2 3'
loop_
_atom_site_label
_atom_site_type_symbol
_atom_site_fract_x
_atom_site_fract_y
_atom_site_fract_z
Hf1 Hf 0.000 0.000 0.000
Pd1 Pd 0.500 0.500 0.500
Ru1 Ru 0.000 0.000 0.500
```

=====

Record 3
## HfPdRu2 (PBE-GGA)

Data for a relaxed structure of HfPdRu2.

Properties
Total magnetic moment in μB/cell: 0.00
Energy relative to the elements in eV/atom: 0.157
E in eV per cell: -132.28

```
data_HfPdRu2
_chemical_formula_sum 'Hf4 Pd4 Ru8'
_cell_length_a 3.848
_cell_length_b 3.848
_cell_length_c 18.722
_cell_angle_alpha 90.00
_cell_angle_beta 90.00
_cell_angle_gamma 90.00
_space_group_name_H-M_alt 'I -4 2 d'
_space_group_IT_number 122
_space_group_name_Hall 'I -4 2bw'
loop_
_atom_site_label
_atom_site_type_symbol
_atom_site_fract_x
_atom_site_fract_y
_atom_site_fract_z
Hf1 Hf 0.000 0.000 0.000
Pd1 Pd 0.000 0.000 0.500
Ru1 Ru 0.207 0.250 0.625
```

=====

Record 4
## HfPdRu3 (PBE-GGA)

Data for a relaxed structure of HfPdRu3.

Properties
E above lowest polymorph in eV per formula unit: 0.00
Total magnetic moment in μB/cell: 4.33
Energy relative to the elements in eV/atom: 1.553
E in eV per cell: -35.21

```
data_HfPdRu3
_chemical_formula_sum 'Hf1 Pd1 Ru3'
_cell_length_a 4.673
_cell_length_b 4.673
_cell_length_c 4.673
_cell_angle_alpha 90.00
_cell_angle_beta 90.00
_cell_angle_gamma 90.00
_space_group_name_H-M_alt 'P m -3 m'
_space_group_IT_number 221
_space_group_name_Hall '-P 4 2 3'
loop_
_atom_site_label
_atom_site_type_symbol
_atom_site_fract_x
_atom_site_fract_y
_atom_site_fract_z
Hf1 Hf 0.000 0.000 0.000
Pd1 Pd 0.500 0.500 0.500
Ru1 Ru 0.000 0.500 0.500
```

=====

Record 5
## HfSnPdRu (PBE-GGA)

Data for a relaxed structure of HfSnPdRu.

Properties
Total magnetic moment in μB/cell: 0.00
Energy relative to the elements in eV/atom: -0.573
E in eV per cell: -61.43

```
data_HfSnPdRu
_chemical_formula_sum 'Hf2 Sn2 Pd2 Ru2'
_cell_length_a 4.278
_cell_length_b 4.278
_cell_length_c 7.576
_cell_angle_alpha 90.00
_cell_angle_beta 90.00
_cell_angle_gamma 90.00
_space_group_name_H-M_alt 'I -4 m 2'
_space_group_IT_number 119
_space_group_name_Hall 'I -4 -2'
loop_
_atom_site_label
_atom_site_type_symbol
_atom_site_fract_x
_atom_site_fract_y
_atom_site_fract_z
Hf1 Hf 0.000 0.000 0.000
Sn1 Sn 0.000 0.000 0.500
Pd1 Pd 0.000 0.500 0.250
Ru1 Ru 0.000 0.500 0.750
```

=====

Record 6
## TbHfPdRu (PBE-GGA)

Data for a relaxed structure of TbHfPdRu.

Properties
Total magnetic moment in μB/cell: 0.00
Energy relative to the elements in eV/atom: -0.604
E in eV per cell: -125.88

```
data_TbHfPdRu
_chemical_formula_sum 'Tb4 Hf4 Pd4 Ru4'
_cell_length_a 6.743
_cell_length_b 6.743
_cell_length_c 6.743
_cell_angle_alpha 90.00
_cell_angle_beta 90.00
_cell_angle_gamma 90.00
_space_group_name_H-M_alt 'F -4 3 m'
_space_group_IT_number 216
_space_group_name_Hall 'F -4 2 3'
loop_
_atom_site_label
_atom_site_type_symbol
_atom_site_fract_x
_atom_site_fract_y
_atom_site_fract_z
Tb1 Tb 0.000 0.000 0.000
Hf1 Hf 0.000 0.000 0.500
Pd1 Pd 0.250 0.250 0.250
Ru1 Ru 0.250 0.250 0.750
```